Entry 1:
# LiCeTi2N4, relaxed, DFT GGA-PBE
# E, eV per cell: -271.9
# Density of states at the Fermi level, states/eV/cell: 10.6
# Formation energy from raw total energies, eV per formula unit: -11.03
# Magnetic moment, μB/atom: 0.01
data_LiCeTi2N4
_cell_length_a 3.1567
_cell_length_b 10.2494
_cell_length_c 10.4699
_cell_angle_alpha 90.00
_cell_angle_beta 90.00
_cell_angle_gamma 90.00
_symmetry_space_group_name_H-M 'C m c m'
_symmetry_Int_Tables_number 63
_symmetry_space_group_name_Hall '-C 2c 2'
loop_
_atom_site_label
_atom_site_type_symbol
_atom_site_fract_x
_atom_site_fract_y
_atom_site_fract_z
_atom_site_occupancy
Li1 Li 0.0000 0.1580 0.2500 1
Ce1 Ce 0.0000 0.1095 0.7500 1
Ti1 Ti 0.0000 0.3691 0.5506 1
N1 N 0.0000 0.0000 0.0000 1
N2 N 0.0000 0.2688 0.1095 1
N3 N 0.0000 0.4410 0.7500 1



Entry 2:
# TmP2Rh3, relaxed, DFT GGA-PBE
# E, eV per cell: -261.8
# Density of states at the Fermi level, states/eV/cell: 14.3
# Energy of formation from the pure elements, meV per atom: -1048
# Magnetic moment, μB/atom: 0.00
data_TmP2Rh3
_cell_length_a 15.7778
_cell_length_b 3.8527
_cell_length_c 9.6083
_cell_angle_alpha 90.00
_cell_angle_beta 107.87
_cell_angle_gamma 90.00
_symmetry_space_group_name_H-M 'C 1 2/m 1'
_symmetry_Int_Tables_number 12
loop_
_symmetry_equiv_pos_as_xyz
'x,y,z'
'-x,-y,-z'
'-x,y,-z'
'x,-y,z'
'x+1/2,y+1/2,z'
'-x+1/2,-y+1/2,-z'
'-x+1/2,y+1/2,-z'
'x+1/2,-y+1/2,z'
loop_
_atom_site_label
_atom_site_type_symbol
_atom_site_fract_x
_atom_site_fract_y
_atom_site_fract_z
_atom_site_occupancy
Tm1 Tm 0.0000 0.0000 0.0000 1
Tm2 Tm 0.1543 0.0000 0.6916 1
P1 P 0.0417 0.5000 0.7790 1
P2 P 0.1369 0.5000 0.4516 1
P3 P 0.1975 0.0000 0.1319 1
Rh1 Rh 0.0000 0.5000 0.5000 1
Rh2 Rh 0.0389 0.0000 0.3222 1
Rh3 Rh 0.1247 0.5000 0.2024 1
Rh4 Rh 0.1785 0.5000 0.9524 1
Rh5 Rh 0.2226 0.0000 0.3926 1



Entry 3:
# ReF, relaxed, DFT GGA-PBE
# E, eV per cell: -113.6
# Density of states at the Fermi level, states/eV/cell: 40.5
# Formation energy from raw total energies, eV per formula unit: 0.11
# E above lowest polymorph, kJ per mole of atoms: 102.8
# Magnetic moment, μB/atom: 0.50
data_ReF
_cell_length_a 8.2835
_cell_length_b 8.2835
_cell_length_c 8.2835
_cell_angle_alpha 90.00
_cell_angle_beta 90.00
_cell_angle_gamma 90.00
_symmetry_space_group_name_H-M 'I -4 3 m'
_symmetry_Int_Tables_number 217
_symmetry_space_group_name_Hall 'I -4 2 3'
loop_
_atom_site_label
_atom_site_type_symbol
_atom_site_fract_x
_atom_site_fract_y
_atom_site_fract_z
_atom_site_occupancy
Re1 Re 0.1048 0.1048 0.8952 1
F1 F 0.2401 0.2401 0.7599 1



Entry 4:
# TiAlGeP2, relaxed, DFT GGA-PBE
# E, eV per cell: -22.7
# Density of states at the Fermi level, states/eV/cell: 6.2
# Energy of formation from the pure elements, meV per atom: 869
# Magnetic moment, μB/atom: 0.00
data_TiAlGeP2
_cell_length_a 4.6698
_cell_length_b 4.6698
_cell_length_c 4.8558
_cell_angle_alpha 90.00
_cell_angle_beta 90.00
_cell_angle_gamma 90.00
_symmetry_space_group_name_H-M 'P 4/m m m'
_symmetry_Int_Tables_number 123
_symmetry_space_group_name_Hall '-P 4 2'
loop_
_atom_site_label
_atom_site_type_symbol
_atom_site_fract_x
_atom_site_fract_y
_atom_site_fract_z
_atom_site_occupancy
Ti1 Ti 0.0000 0.0000 0.0000 1
Al1 Al 0.5000 0.5000 0.0000 1
Ge1 Ge 0.0000 0.0000 0.5000 1
P1 P 0.0000 0.5000 0.5000 1



Copy entry 3 word for word.
# ReF, relaxed, DFT GGA-PBE
# E, eV per cell: -113.6
# Density of states at the Fermi level, states/eV/cell: 40.5
# Formation energy from raw total energies, eV per formula unit: 0.11
# E above lowest polymorph, kJ per mole of atoms: 102.8
# Magnetic moment, μB/atom: 0.50
data_ReF
_cell_length_a 8.2835
_cell_length_b 8.2835
_cell_length_c 8.2835
_cell_angle_alpha 90.00
_cell_angle_beta 90.00
_cell_angle_gamma 90.00
_symmetry_space_group_name_H-M 'I -4 3 m'
_symmetry_Int_Tables_number 217
_symmetry_space_group_name_Hall 'I -4 2 3'
loop_
_atom_site_label
_atom_site_type_symbol
_atom_site_fract_x
_atom_site_fract_y
_atom_site_fract_z
_atom_site_occupancy
Re1 Re 0.1048 0.1048 0.8952 1
F1 F 0.2401 0.2401 0.7599 1